[1]
A relaxed structure of TcPtRh2. Source: Alexandria, functional GGA-PBE.

```
4
Lattice="2.722 0.000 0.000 0.000 2.722 0.000 0.000 0.000 7.861" Properties=species:S:1:pos:R:3 pbc="T T T"
Tc 0.000 0.000 0.000
Pt 1.361 1.361 1.977
Rh 0.000 0.000 4.018
Rh 1.361 1.361 5.986
```

Properties
- VASP energy: -7.874 eV/atom
- Calculated formation energy: -97.0 meV/atom
- Space-group type: P4mm, No. 99
- Total magnetic moment: 0.000 μB per atom
- DOS at the Fermi energy: 5.092 states/eV per cell

[2]
A relaxed structure of Tc2PtRh. Source: Alexandria, functional GGA-PBE.

```
4
Lattice="4.560 -1.351 0.000 4.560 1.351 0.000 -0.759 0.000 4.752" Properties=species:S:1:pos:R:3 pbc="T T T"
Tc 0.000 0.000 0.000
Tc 1.714 0.000 3.566
Pt 4.196 0.000 2.381
Rh 6.607 0.000 1.118
```

Properties
- VASP energy: -8.632 eV/atom
- Calculated formation energy: -101.1 meV/atom
- Space-group type: Cm, No. 8
- Total magnetic moment: 0.000 μB per atom
- DOS at the Fermi energy: 4.222 states/eV per cell